No. 1
Computed, not measured: LiV2Te3 after structural relaxation at the GGA-PBE level of DFT.

The formation energy from raw total energies comes out at -0.224 eV/atom.

The space group is C2/m (No. 12) and the conventional cell measures 21.563, 3.840 and 7.746 Å, with angles of 90.00, 102.54 and 90.00 degrees. Symmetry generates all atoms from Li at (0.156, 0.000, 0.023), V at (0.044, 0.500, 0.130), V at (0.216, 0.000, 0.420), Te at (0.074, 0.500, 0.825), Te at (0.088, 0.000, 0.358) and Te at (0.242, 0.000, 0.771).

---

No. 2
Computed, not measured: ThPa after structural relaxation at the GGA-PBE level of DFT.

The value obtained for the relative energy among the computed polymorphs is 0 meV/atom. For the energy of formation, the calculation gives 76 meV/atom.

The space group is Cmme (No. 67) and the conventional cell measures 4.807, 4.860 and 9.666 Å, with angles of 90.00, 90.00 and 90.00 degrees. Symmetry generates all atoms from Th at (0.000, 0.250, 0.134) and Pa at (0.000, 0.250, 0.616).

---

No. 3
Computed, not measured: TaReMo6 after structural relaxation at the GGA-PBE level of DFT.

The value obtained for the relative energy among the computed polymorphs is 455 meV/atom. For the energy of formation, the calculation gives 675 meV/atom.

The space group is C2/m (No. 12) and the conventional cell measures 7.239, 5.309 and 7.683 Å, with angles of 90.00, 104.24 and 90.00 degrees. Symmetry generates all atoms from Ta at (0.000, 0.000, 0.000), Re at (0.000, 0.500, 0.500), Mo at (0.129, 0.000, 0.417) and Mo at (0.201, 0.240, 0.791).

---

No. 4
Computed, not measured: CaPm6S8 after structural relaxation at the GGA-PBE level of DFT.

The formation energy from raw total energies comes out at -2.073 eV/atom.

The space group is Fm-3m (No. 225) and the conventional cell measures 11.384, 11.384 and 11.384 Å, with angles of 90.00, 90.00 and 90.00 degrees. Symmetry generates all atoms from Ca at (0.000, 0.000, 0.000), Pm at (0.000, 0.250, 0.250), S at (0.000, 0.000, 0.247) and S at (0.250, 0.250, 0.250).